No. 1
A plane-wave DFT calculation with PBE-GGA was carried out for an optimized crystal structure of TbEr2In3Pt2. Values from VASP.

Values from the calculation:
Density in Mg/m³: 11.009
Space-group type: Amm2 (38)
M_tot in μB/cell: 0.02
Total DFT energy (no corrections) in eV/cell: -41.18

```
&SYSTEM
  ibrav = 0, nat = 8, ntyp = 4
/
ATOMIC_SPECIES
In 114.82 In.upf
Tb 158.93 Tb.upf
Pt 195.08 Pt.upf
Er 167.26 Er.upf
CELL_PARAMETERS angstrom
-0.4927 -3.0319 1.9128
6.6926 1.1872 3.6055
-6.5167 2.8871 2.8978
ATOMIC_POSITIONS angstrom
In -5.2516 0.7082 3.1928
Tb 0.1019 2.3609 3.7684
Pt -2.3854 0.8044 4.0834
Pt 2.0683 0.2313 4.3221
In -0.2060 -0.5821 2.4470
Er -2.7462 1.2171 1.2218
Er 2.8204 0.5007 1.5201
In 4.8946 -0.5975 3.7364
```

***

No. 2
A plane-wave DFT calculation with PBE-GGA was carried out for an optimized crystal structure of Tb2ErIn3Pt2. Values from VASP.

Values from the calculation:
Density in Mg/m³: 10.829
Space-group type: Amm2 (38)
M_tot in μB/cell: 0.02
Total DFT energy (no corrections) in eV/cell: -41.22

```
&SYSTEM
  ibrav = 0, nat = 8, ntyp = 4
/
ATOMIC_SPECIES
Pt 195.08 Pt.upf
Tb 158.93 Tb.upf
In 114.82 In.upf
Er 167.26 Er.upf
CELL_PARAMETERS angstrom
3.6371 0.0000 0.0000
0.0000 6.6749 3.8519
0.0000 -6.6749 3.8519
ATOMIC_POSITIONS angstrom
Pt 1.8185 -2.1963 3.8587
Tb 0.0000 3.8676 5.4706
In 1.8185 1.5303 6.8099
Pt 1.8185 2.1963 3.8587
Er 0.0000 0.0000 4.4569
Tb 0.0000 -3.8676 5.4706
In 1.8185 -1.5303 6.8099
In 1.8185 0.0000 1.7841
```

***

No. 3
A plane-wave DFT calculation with PBE-GGA was carried out for an optimized crystal structure of Er2TmIn3Pt2. Values from VASP.

Values from the calculation:
Density in Mg/m³: 11.238
Space-group type: Amm2 (38)
M_tot in μB/cell: 0.00
Total DFT energy (no corrections) in eV/cell: -41.06

```
&SYSTEM
  ibrav = 0, nat = 8, ntyp = 4
/
ATOMIC_SPECIES
Pt 195.08 Pt.upf
In 114.82 In.upf
Er 167.26 Er.upf
Tm 168.93 Tm.upf
CELL_PARAMETERS angstrom
3.5865 0.0000 0.0000
0.0000 6.6454 3.8380
0.0000 -6.6454 3.8380
ATOMIC_POSITIONS angstrom
Pt 1.7932 2.2135 3.8376
Pt 1.7932 -2.2135 3.8376
In 1.7932 0.0000 5.9051
In 1.7932 1.5328 0.8853
Er 0.0000 3.8455 2.2209
In 1.7932 -1.5328 0.8853
Er 0.0000 -3.8455 2.2209
Tm 0.0000 0.0000 3.2346
```